Entry 1:
LaNbGe, relaxed, DFT PBE-GGA; Fermi-level density of states = 0.77 states/eV/atom; crystal system = triclinic; energy relative to the elements = -251 meV per atom
1.0
3.1920 -0.0014 0.0003
1.3472 5.6757 -0.0019
1.2271 0.5784 7.5362
La Nb Ge
2 2 2
Direct
0.7075 0.7527 0.3579
0.2925 0.2473 0.6421
0.5000 0.0000 0.0000
0.5000 0.5000 0.0000
0.0491 0.7629 0.7483
0.9509 0.2371 0.2517

***

Entry 2:
Nd2ThCrN4, relaxed, DFT PBE-GGA; Fermi-level density of states = 0.48 states/eV/atom; crystal system = orthorhombic; energy relative to the elements, uncorrected = -1.07 eV/atom
1.0
3.4703 0.0000 0.0000
-1.7351 5.8821 0.0000
0.0000 0.0000 12.1381
Nd Th N Cr
4 2 8 2
Direct
0.3675 0.7350 0.9533
0.6325 0.2650 0.4533
0.6325 0.2650 0.0467
0.3675 0.7350 0.5467
0.1015 0.2030 0.7500
0.8985 0.7970 0.2500
0.7229 0.4459 0.6390
0.4350 0.8700 0.7500
0.0000 0.0000 0.0000
0.0000 0.0000 0.5000
0.2771 0.5541 0.3610
0.5650 0.1300 0.2500
0.7229 0.4459 0.8610
0.2771 0.5541 0.1390
0.1636 0.3272 0.2500
0.8364 0.6728 0.7500

***

Number 1: spin magnetization 0.0 μB/f.u.. Number 2: spin magnetization 2.4 μB/f.u..